Entry 1:
Computed, not measured: a geometry-optimized U2B6W structure at the PBE level of DFT.

Geometry as extended XYZ:
```
36
Lattice="9.281 0.000 0.000 0.000 11.368 0.000 0.000 0.000 3.689" Properties=species:S:1:pos:R:3 pbc="T T T"
U 0.406 1.199 0.000
U 1.535 4.634 0.000
U 3.105 10.318 0.000
U 4.235 6.883 0.000
U 5.046 4.485 0.000
U 6.175 1.050 0.000
U 7.746 6.734 0.000
U 8.875 10.169 0.000
B 0.136 3.201 1.844
B 0.462 6.442 1.844
B 1.316 10.922 1.844
B 1.341 9.239 1.844
B 1.820 2.586 1.844
B 2.260 6.545 1.844
B 2.380 0.861 1.844
B 2.821 8.270 1.844
B 3.299 3.555 1.844
B 3.324 5.238 1.844
B 4.178 0.758 1.844
B 4.504 8.885 1.844
B 4.776 2.483 1.844
B 5.102 10.610 1.844
B 5.956 6.130 1.844
B 5.981 7.814 1.844
B 6.460 3.099 1.844
B 6.901 10.507 1.844
B 7.020 4.823 1.844
B 7.461 8.783 1.844
B 7.939 2.130 1.844
B 7.964 0.446 1.844
B 8.819 4.926 1.844
B 9.145 8.167 1.844
W 1.346 7.729 0.000
W 3.294 2.045 0.000
W 5.987 9.323 0.000
W 7.934 3.639 0.000
```

Output
Calculated formation energy, eV per atom: -0.551
Energy relative to the lowest polymorph listed for this composition, meV per atom: 0
SG: Pbam (55)
VASP energy, eV/cell: -322.22


Entry 2:
Computed, not measured: a geometry-optimized CaUTl2Se6 structure at the PBE level of DFT.

Geometry as extended XYZ:
```
20
Lattice="7.348 0.000 0.000 0.000 7.492 0.000 -7.119 0.000 10.870" Properties=species:S:1:pos:R:3 pbc="T T T"
Ca 0.000 0.000 0.000
Ca -3.560 3.746 5.435
U 0.115 0.000 5.435
U 3.674 3.746 0.000
Tl -3.610 0.272 8.122
Tl -0.051 3.474 2.687
Tl 0.280 4.018 8.183
Tl 3.839 7.220 2.748
Se -0.687 0.554 2.830
Se -4.247 3.192 8.264
Se 1.365 4.960 0.552
Se -2.194 6.278 5.987
Se 2.552 1.420 0.684
Se -1.008 2.325 6.119
Se 1.237 5.166 4.750
Se -2.323 6.071 10.185
Se 2.423 1.214 4.883
Se -1.136 2.532 10.317
Se 4.476 4.299 2.605
Se 0.917 6.938 8.040
```

Output
ΔE_f (raw), eV/atom: -0.78
SG: P2_1/c (14)
VASP energy, eV/cell: -93.42


Entry 3:
Computed, not measured: a geometry-optimized Ba2CaY structure at the PBE level of DFT.

Geometry as extended XYZ:
```
8
Lattice="4.547 0.000 0.000 0.000 6.362 0.000 0.000 0.000 12.881" Properties=species:S:1:pos:R:3 pbc="T T T"
Ba 0.000 0.000 3.082
Ba 0.000 0.000 9.799
Ba 2.273 3.181 3.082
Ba 2.273 3.181 9.799
Ca 0.000 3.181 6.441
Ca 2.273 0.000 6.441
Y 0.000 3.181 0.000
Y 2.273 0.000 0.000
```

Output
Calculated formation energy, eV per atom: 0.176
Energy relative to the lowest polymorph listed for this composition, meV per atom: 43
SG: Cmmm (65)
VASP energy, eV/cell: -23.21


Entry 4:
Computed, not measured: a geometry-optimized Er8Si3Te4P structure at the PBE level of DFT.

Geometry as extended XYZ:
```
16
Lattice="4.162 2.403 7.013 -4.162 2.403 7.013 0.000 -4.805 7.013" Properties=species:S:1:pos:R:3 pbc="T T T"
Er -2.082 -1.202 12.027
Er 0.000 0.000 5.037
Er 0.000 -2.404 9.013
Er -2.082 1.202 9.013
Er 2.082 -1.202 12.027
Er 0.000 2.404 12.027
Er 0.000 0.000 16.003
Er 2.082 1.202 9.013
Si -4.162 0.000 10.520
Si -2.081 1.201 3.507
Si 2.081 1.201 3.507
Te 0.000 0.000 0.000
Te -2.081 -1.201 7.013
Te -2.081 1.201 14.027
Te 0.000 2.403 7.013
P 0.000 0.000 10.520
```

Output
ΔE_f (raw), eV/atom: -1.20
SG: R-3m (166)
VASP energy, eV/cell: -89.88


Entry 5:
Computed, not measured: a geometry-optimized Ce2HoPu structure at the PBE level of DFT.

Geometry as extended XYZ:
```
4
Lattice="3.381 0.000 0.000 0.000 3.381 0.000 0.000 0.000 9.647" Properties=species:S:1:pos:R:3 pbc="T T T"
Ce 0.000 0.000 2.217
Ce 0.000 0.000 7.430
Ho 1.690 1.690 4.824
Pu 1.690 1.690 0.000
```

Output
Calculated formation energy, eV per atom: 0.108
Energy relative to the lowest polymorph listed for this composition, meV per atom: 0
SG: P4/mmm (123)
VASP energy, eV/cell: -30.35


Entry 6:
Computed, not measured: a geometry-optimized PuNiAs3 structure at the PBE level of DFT.

Geometry as extended XYZ:
```
20
Lattice="11.806 0.000 0.000 0.000 5.612 0.000 0.000 0.000 5.555" Properties=species:S:1:pos:R:3 pbc="T T T"
Pu 2.276 0.023 1.389
Pu 2.276 2.782 4.166
Pu 9.530 2.829 1.389
Pu 9.530 5.588 4.166
Ni 4.880 4.209 0.000
Ni 4.880 4.209 2.778
Ni 6.926 1.403 0.000
Ni 6.926 1.403 2.778
As 0.019 4.209 0.000
As 0.019 4.209 2.778
As 3.241 2.838 1.389
As 3.241 5.579 4.166
As 5.139 0.611 1.389
As 5.139 2.194 4.166
As 6.667 3.417 1.389
As 6.667 5.000 4.166
As 8.565 0.032 1.389
As 8.565 2.773 4.166
As 11.787 1.403 0.000
As 11.787 1.403 2.778
```

Output
Calculated formation energy, eV per atom: -0.556
SG: Pbcm (57)
VASP energy, eV/cell: -147.37


Entry 7:
Computed, not measured: a geometry-optimized Y2Hg3Pd8 structure at the PBE level of DFT.

Geometry as extended XYZ:
```
13
Lattice="7.089 -3.571 0.000 7.089 3.571 0.000 -1.565 0.000 5.397" Properties=species:S:1:pos:R:3 pbc="T T T"
Y 2.107 0.000 1.237
Y 10.505 0.000 4.160
Hg 6.306 2.008 2.698
Hg 7.089 0.000 0.000
Hg 6.306 -2.008 2.698
Pd 4.761 1.314 0.411
Pd 1.531 0.000 3.835
Pd 4.180 0.000 3.036
Pd 7.851 1.314 4.986
Pd 4.761 -1.314 0.411
Pd 8.432 0.000 2.361
Pd 11.081 0.000 1.562
Pd 7.851 -1.314 4.986
```

Output
Calculated formation energy, eV per atom: -0.290
SG: C2/m (12)
VASP energy, eV/cell: -59.14


Entry 8:
Computed, not measured: a geometry-optimized SmNp2Ir9 structure at the PBE level of DFT.

Geometry as extended XYZ:
```
12
Lattice="2.651 1.531 8.770 -2.651 1.531 8.770 0.000 -3.061 8.770" Properties=species:S:1:pos:R:3 pbc="T T T"
Sm 0.000 0.000 0.000
Np 0.000 0.000 3.695
Np 0.000 0.000 22.616
Ir -1.336 -0.771 10.966
Ir 0.000 0.000 8.766
Ir 0.000 -1.542 15.345
Ir -1.336 0.771 15.345
Ir 0.000 0.000 13.155
Ir 1.336 -0.771 10.966
Ir 0.000 1.542 10.966
Ir 0.000 0.000 17.545
Ir 1.336 0.771 15.345
```

Output
Calculated formation energy, eV per atom: -0.400
SG: R-3m (166)
VASP energy, eV/cell: -115.15


Entry 9:
Computed, not measured: a geometry-optimized CePrPt3 structure at the PBE level of DFT.

Geometry as extended XYZ:
```
10
Lattice="1.943 -13.904 0.000 1.943 13.904 0.000 0.000 0.000 4.262" Properties=species:S:1:pos:R:3 pbc="T T T"
Ce 1.943 8.287 3.196
Ce 1.943 -8.287 1.065
Pr 1.943 11.907 1.065
Pr 1.943 -11.907 3.196
Pt 1.943 5.301 3.196
Pt 1.943 3.423 1.065
Pt 1.943 0.784 1.065
Pt 1.943 -0.784 3.196
Pt 1.943 -3.423 3.196
Pt 1.943 -5.301 1.065
```

Output
Calculated formation energy, eV per atom: -1.056
Energy relative to the lowest polymorph listed for this composition, meV per atom: 0
SG: Cmcm (63)
VASP energy, eV/cell: -68.23


Entry 10:
Computed, not measured: a geometry-optimized TbDyCoI structure at the PBE level of DFT.

Geometry as extended XYZ:
```
12
Lattice="3.957 0.000 0.000 -1.979 3.427 0.000 0.000 0.000 23.640" Properties=species:S:1:pos:R:3 pbc="T T T"
Tb 0.000 0.000 0.000
Tb 0.000 2.285 15.760
Tb 1.979 1.142 7.880
Dy 0.000 0.000 5.072
Dy 0.000 2.285 20.832
Dy 1.979 1.142 12.952
Co 0.000 0.000 14.352
Co 0.000 2.285 6.472
Co 1.979 1.142 22.232
I 0.000 0.000 18.331
I 0.000 2.285 10.451
I 1.979 1.142 2.571
```

Output
ΔE_f (raw), eV/atom: -0.57
SG: R3m (160)
VASP energy, eV/cell: -60.54


Entry 11:
Computed, not measured: a geometry-optimized LiCa2Os structure at the PBE level of DFT.

Geometry as extended XYZ:
```
8
Lattice="4.525 0.000 0.000 0.000 3.759 0.000 0.000 0.000 10.952" Properties=species:S:1:pos:R:3 pbc="T T T"
Li 0.000 0.000 0.000
Li 0.000 1.879 5.476
Ca 0.000 0.000 7.611
Ca 0.000 1.879 2.135
Ca 2.263 0.000 4.473
Ca 2.263 1.879 9.949
Os 2.263 0.000 1.307
Os 2.263 1.879 6.783
```

Output
Calculated formation energy, eV per atom: 0.377
SG: Amm2 (38)
VASP energy, eV/cell: -31.28


Entry 12:
Computed, not measured: a geometry-optimized AlAs2Au structure at the PBE level of DFT.

Geometry as extended XYZ:
```
8
Lattice="2.903 0.000 0.000 0.000 5.152 0.000 0.000 0.000 10.887" Properties=species:S:1:pos:R:3 pbc="T T T"
Al 0.000 0.000 0.000
Al 1.451 2.576 5.443
As 0.000 0.000 6.258
As 0.000 2.576 7.628
As 1.451 0.000 2.185
As 1.451 2.576 0.815
Au 0.000 2.576 3.362
Au 1.451 0.000 8.805
```

Output
Calculated formation energy, eV per atom: 0.115
SG: Imm2 (44)
VASP energy, eV/cell: -31.72


Entry 13:
Computed, not measured: a geometry-optimized Ca2CdInN structure at the PBE level of DFT.

Geometry as extended XYZ:
```
5
Lattice="4.863 0.000 0.000 0.000 4.863 0.000 0.000 0.000 4.783" Properties=species:S:1:pos:R:3 pbc="T T T"
Ca 0.000 2.432 0.000
Ca 2.432 0.000 0.000
Cd 0.000 0.000 2.391
In 2.432 2.432 2.391
N 0.000 0.000 0.000
```

Output
ΔE_f (raw), eV/atom: -0.37
Energy relative to the lowest polymorph listed for this composition, meV per atom: 12
SG: P4/mmm (123)
VASP energy, eV/cell: -17.85


Entry 14:
Computed, not measured: a geometry-optimized KTaZn2Os structure at the PBE level of DFT.

Geometry as extended XYZ:
```
5
Lattice="5.035 0.000 0.000 0.000 5.035 0.000 0.000 0.000 5.481" Properties=species:S:1:pos:R:3 pbc="T T T"
K 0.000 0.000 0.000
Ta 0.000 0.000 2.741
Zn 0.000 2.518 2.741
Zn 2.518 0.000 2.741
Os 2.518 2.518 0.000
```

Output
Calculated formation energy, eV per atom: 2.433
SG: P4/mmm (123)
VASP energy, eV/cell: -14.56


Entry 15:
Computed, not measured: a geometry-optimized B2Cl2O structure at the PBE level of DFT.

Geometry as extended XYZ:
```
10
Lattice="3.813 0.000 0.000 0.000 3.813 0.000 0.000 0.000 8.361" Properties=species:S:1:pos:R:3 pbc="T T T"
B 0.000 1.906 2.090
B 0.000 1.906 6.271
B 1.906 0.000 2.090
B 1.906 0.000 6.271
Cl 0.000 0.000 1.419
Cl 0.000 0.000 6.942
Cl 1.906 1.906 2.761
Cl 1.906 1.906 5.600
O 0.000 0.000 4.180
O 1.906 1.906 0.000
```

Output
ΔE_f (raw), eV/atom: 1.47
Energy relative to the lowest polymorph listed for this composition, meV per atom: 0
SG: I4/mmm (139)
VASP energy, eV/cell: -29.35


Entry 16:
Computed, not measured: a geometry-optimized ZrPaAu2O8 structure at the PBE level of DFT.

Geometry as extended XYZ:
```
12
Lattice="-3.479 3.479 3.566 3.479 -3.479 3.566 3.479 3.479 -3.566" Properties=species:S:1:pos:R:3 pbc="T T T"
Zr 0.000 0.000 0.000
Pa 3.479 0.000 1.783
Au 0.000 0.000 3.566
Au 0.000 3.479 1.783
O 2.254 3.479 -1.704
O 1.225 0.000 1.862
O 0.000 2.199 0.159
O 3.479 2.254 1.704
O 0.000 4.758 0.159
O 0.000 1.225 5.270
O -1.279 3.479 3.407
O 1.279 3.479 3.407
```

Output
ΔE_f (raw), eV/atom: -1.56
SG: I-4m2 (119)
VASP energy, eV/cell: -83.01


Entry 17:
Computed, not measured: a geometry-optimized Y3Tl2Pt structure at the PBE level of DFT.

Geometry as extended XYZ:
```
24
Lattice="13.330 0.000 0.000 0.000 4.846 0.000 0.000 0.000 9.694" Properties=species:S:1:pos:R:3 pbc="T T T"
Y 0.964 1.212 0.851
Y 1.394 3.635 5.404
Y 3.086 3.635 2.414
Y 3.579 1.212 7.261
Y 5.272 1.212 0.557
Y 5.701 3.635 5.698
Y 7.629 1.212 3.996
Y 8.059 3.635 9.136
Y 9.752 3.635 2.433
Y 10.244 1.212 7.280
Y 11.937 1.212 4.290
Y 12.367 3.635 8.843
Tl 0.262 1.212 7.127
Tl 2.379 3.635 8.961
Tl 4.286 1.212 4.114
Tl 6.403 3.635 2.280
Tl 6.927 1.212 7.413
Tl 9.044 3.635 5.580
Tl 10.951 1.212 0.733
Tl 13.069 3.635 2.567
Pt 1.464 1.212 3.574
Pt 5.201 3.635 8.421
Pt 8.130 1.212 1.273
Pt 11.866 3.635 6.120
```

Output
Calculated formation energy, eV per atom: -0.595
SG: Pnma (62)
VASP energy, eV/cell: -134.94


Entry 18:
Computed, not measured: a geometry-optimized La5Pm6Dy structure at the PBE level of DFT.

Geometry as extended XYZ:
```
12
Lattice="3.190 -5.528 0.000 3.190 5.528 0.000 -2.144 0.000 11.988" Properties=species:S:1:pos:R:3 pbc="T T T"
La 0.000 0.000 0.000
La 2.118 3.683 5.994
La 3.190 1.838 0.000
La 3.190 -1.838 0.000
La 2.118 -3.683 5.994
Pm 1.067 1.835 3.014
Pm -0.007 0.000 8.971
Pm 1.067 -1.835 3.014
Pm 3.170 1.835 8.974
Pm 4.244 0.000 3.016
Pm 3.170 -1.835 8.974
Dy 2.118 0.000 5.994
```

Output
Calculated formation energy, eV per atom: 0.015
SG: C2/m (12)
VASP energy, eV/cell: -57.56


Entry 19:
Computed, not measured: a geometry-optimized Tb2Nd12Ho structure at the PBE level of DFT.

Geometry as extended XYZ:
```
30
Lattice="3.608 -5.826 0.000 3.608 5.826 0.000 0.000 0.000 25.036" Properties=species:S:1:pos:R:3 pbc="T T T"
Tb 3.608 2.913 5.838
Tb 3.608 2.913 19.314
Tb 3.608 -2.913 5.722
Tb 3.608 -2.913 19.198
Nd 1.815 2.913 15.758
Nd 3.608 5.807 10.673
Nd 1.947 2.913 2.117
Nd 3.608 5.544 23.529
Nd 1.804 0.000 4.387
Nd 1.804 0.000 7.546
Nd 1.804 0.000 17.490
Nd 1.804 0.000 20.649
Nd 3.608 0.282 23.529
Nd 5.270 2.913 2.117
Nd 3.608 0.019 10.673
Nd 5.402 2.913 15.758
Nd 1.815 -2.913 9.278
Nd 3.608 -0.019 14.363
Nd 1.947 -2.913 22.919
Nd 3.608 -0.282 1.507
Nd 5.412 0.000 4.387
Nd 5.412 0.000 7.546
Nd 5.412 0.000 17.490
Nd 5.412 0.000 20.649
Nd 3.608 -5.544 1.507
Nd 5.270 -2.913 22.919
Nd 3.608 -5.807 14.363
Nd 5.402 -2.913 9.278
Ho 3.608 2.913 12.536
Ho 3.608 -2.913 12.500
```

Output
Calculated formation energy, eV per atom: 0.155
SG: Cmme (67)
VASP energy, eV/cell: -137.44


Entry 20:
Computed, not measured: a geometry-optimized Cu2PH2 structure at the PBE level of DFT.

Geometry as extended XYZ:
```
10
Lattice="2.890 0.000 0.000 0.000 2.890 0.000 0.000 0.000 11.117" Properties=species:S:1:pos:R:3 pbc="T T T"
Cu 0.000 0.000 1.649
Cu 0.000 0.000 9.468
Cu 1.445 1.445 3.910
Cu 1.445 1.445 7.208
P 0.000 0.000 5.559
P 1.445 1.445 0.000
H 0.000 1.445 2.779
H 0.000 1.445 8.338
H 1.445 0.000 2.779
H 1.445 0.000 8.338
```

Output
Energy relative to the lowest polymorph listed for this composition, meV per atom: 89
SG: I4/mmm (139)
VASP energy, eV/cell: -36.79